# 1
Material: TlCrGa2Si
Method: DFT, PBE-GGA
State: relaxed Values from VASP.

Values from the calculation:
The value obtained for the energy relative to the elements, uncorrected is 1.2635 eV per atom. The volume is 141.0 Å³ per cell. The mass density is 4.991 Mg/m³. For the spin magnetization, the calculation gives 3.65 μB per formula unit.

```
&SYSTEM
  ibrav = 0, nat = 5, ntyp = 4
/
ATOMIC_SPECIES
Tl 204.38 Tl.upf
Cr 52.00 Cr.upf
Ga 69.72 Ga.upf
Si 28.09 Si.upf
ATOMIC_POSITIONS angstrom
Tl 0.0000 0.0000 0.0000
Cr 0.0000 0.0000 2.6145
Ga 0.0000 2.5968 0.0000
Ga 2.5968 0.0000 0.0000
Si 2.5968 2.5968 2.6145
CELL_PARAMETERS angstrom
5.1937 0.0000 0.0000
0.0000 5.1937 0.0000
0.0000 0.0000 5.2291
```

# 2
Material: TlCrGaSi2
Method: DFT, PBE-GGA
State: relaxed Values from VASP.

Values from the calculation:
The value obtained for the energy relative to the elements, uncorrected is 1.9946 eV per atom. The volume is 136.7 Å³ per cell. The mass density is 4.643 Mg/m³. For the spin magnetization, the calculation gives 0.61 μB per formula unit.

```
&SYSTEM
  ibrav = 0, nat = 5, ntyp = 4
/
ATOMIC_SPECIES
Tl 204.38 Tl.upf
Cr 52.00 Cr.upf
Ga 69.72 Ga.upf
Si 28.09 Si.upf
ATOMIC_POSITIONS angstrom
Tl 0.0000 0.0000 0.0000
Cr 2.5841 2.5841 2.5590
Ga 0.0000 0.0000 2.5590
Si 0.0000 2.5841 0.0000
Si 2.5841 0.0000 0.0000
CELL_PARAMETERS angstrom
5.1682 0.0000 0.0000
0.0000 5.1682 0.0000
0.0000 0.0000 5.1181
```

# 3
Material: VCrGaSi
Method: DFT, PBE-GGA
State: relaxed Values from VASP.

Values from the calculation:
The value obtained for the energy relative to the elements, uncorrected is -0.1629 eV per atom. The volume is 52.4 Å³ per cell. The mass density is 6.359 Mg/m³. For the spin magnetization, the calculation gives 0.00 μB per formula unit. As for the energy above the most stable polymorph in this dataset: 0.000 eV/atom.

```
&SYSTEM
  ibrav = 0, nat = 4, ntyp = 4
/
ATOMIC_SPECIES
V 50.94 V.upf
Cr 52.00 Cr.upf
Ga 69.72 Ga.upf
Si 28.09 Si.upf
ATOMIC_POSITIONS angstrom
V 0.0000 0.0000 0.0000
Cr 1.5659 1.5659 4.0741
Ga 1.5659 1.5659 1.3979
Si 0.0000 0.0000 2.8120
CELL_PARAMETERS angstrom
3.1318 0.0000 0.0000
0.0000 3.1318 0.0000
0.0000 0.0000 5.3446
```

# 4
Material: VCrGaSi
Method: DFT, PBE-GGA
State: relaxed Values from VASP.

Values from the calculation:
The value obtained for the energy relative to the elements, uncorrected is -0.1091 eV per atom. The volume is 53.1 Å³ per cell. The mass density is 6.279 Mg/m³. For the spin magnetization, the calculation gives 0.01 μB per formula unit. As for the energy above the most stable polymorph in this dataset: 0.054 eV/atom.

```
&SYSTEM
  ibrav = 0, nat = 4, ntyp = 4
/
ATOMIC_SPECIES
V 50.94 V.upf
Cr 52.00 Cr.upf
Ga 69.72 Ga.upf
Si 28.09 Si.upf
ATOMIC_POSITIONS angstrom
V 0.0000 0.0000 0.0000
Cr 1.4530 2.3106 0.0790
Ga 1.4632 -0.5679 2.0736
Si -0.0096 1.6458 1.9761
CELL_PARAMETERS angstrom
2.9271 0.0000 0.0000
-0.0236 4.5375 0.0000
-1.4511 -2.2624 3.9974
```

# 5
Material: VCrGaSi
Method: DFT, PBE-GGA
State: relaxed Values from VASP.

Values from the calculation:
The value obtained for the energy relative to the elements, uncorrected is -0.1217 eV per atom. The volume is 104.1 Å³ per cell. The mass density is 6.407 Mg/m³. For the spin magnetization, the calculation gives 0.00 μB per formula unit. As for the energy above the most stable polymorph in this dataset: 0.041 eV/atom.

```
&SYSTEM
  ibrav = 0, nat = 8, ntyp = 4
/
ATOMIC_SPECIES
V 50.94 V.upf
Cr 52.00 Cr.upf
Ga 69.72 Ga.upf
Si 28.09 Si.upf
ATOMIC_POSITIONS angstrom
V 0.0000 0.0000 0.0000
V 1.6037 2.0044 4.0465
Cr 0.0000 2.0044 2.1988
Cr 1.6037 0.0000 6.2453
Ga 0.0000 0.0000 4.1496
Ga 1.6037 2.0044 0.1031
Si 0.0000 2.0044 6.0720
Si 1.6037 0.0000 2.0255
CELL_PARAMETERS angstrom
3.2075 0.0000 0.0000
0.0000 4.0088 0.0000
0.0000 0.0000 8.0930
```

# 6
Material: VCrGaSi
Method: DFT, PBE-GGA
State: relaxed Values from VASP.

Values from the calculation:
The value obtained for the energy relative to the elements, uncorrected is -0.1220 eV per atom. The volume is 52.8 Å³ per cell. The mass density is 6.310 Mg/m³. For the spin magnetization, the calculation gives 0.00 μB per formula unit. As for the energy above the most stable polymorph in this dataset: 0.041 eV/atom.

```
&SYSTEM
  ibrav = 0, nat = 4, ntyp = 4
/
ATOMIC_SPECIES
V 50.94 V.upf
Cr 52.00 Cr.upf
Ga 69.72 Ga.upf
Si 28.09 Si.upf
ATOMIC_POSITIONS angstrom
V 0.0000 0.0000 0.0000
Cr 1.1741 0.0000 2.4986
Ga 0.0091 1.9752 3.4914
Si 1.2945 1.9752 1.0342
CELL_PARAMETERS angstrom
2.6643 0.0000 0.0000
0.0000 3.9505 0.0000
-0.7805 0.0000 5.0192
```

# 7
Material: VCrGaSi
Method: DFT, PBE-GGA
State: relaxed Values from VASP.

Values from the calculation:
The value obtained for the energy relative to the elements, uncorrected is -0.0749 eV per atom. The volume is 51.6 Å³ per cell. The mass density is 6.457 Mg/m³. For the spin magnetization, the calculation gives 0.00 μB per formula unit. As for the energy above the most stable polymorph in this dataset: 0.088 eV/atom.

```
&SYSTEM
  ibrav = 0, nat = 4, ntyp = 4
/
ATOMIC_SPECIES
V 50.94 V.upf
Cr 52.00 Cr.upf
Ga 69.72 Ga.upf
Si 28.09 Si.upf
ATOMIC_POSITIONS angstrom
V 0.0000 0.0000 0.0000
Cr 0.0310 2.1297 3.3114
Ga 1.1736 0.0000 2.3678
Si 1.3675 2.1297 0.9400
CELL_PARAMETERS angstrom
2.5841 0.0000 0.0000
0.0000 4.2593 0.0000
-0.5435 0.0000 4.6908
```

# 8
Material: VCrGaSi
Method: DFT, PBE-GGA
State: relaxed Values from VASP.

Values from the calculation:
The value obtained for the energy relative to the elements, uncorrected is -0.1245 eV per atom. The volume is 53.8 Å³ per cell. The mass density is 6.195 Mg/m³. For the spin magnetization, the calculation gives 0.39 μB per formula unit. As for the energy above the most stable polymorph in this dataset: 0.038 eV/atom.

```
&SYSTEM
  ibrav = 0, nat = 4, ntyp = 4
/
ATOMIC_SPECIES
V 50.94 V.upf
Cr 52.00 Cr.upf
Ga 69.72 Ga.upf
Si 28.09 Si.upf
ATOMIC_POSITIONS angstrom
V 0.0000 0.0000 0.0000
Cr 1.4608 0.0000 2.2181
Ga 0.0000 2.0085 2.9124
Si 1.4608 2.0085 0.6721
CELL_PARAMETERS angstrom
2.9216 0.0000 0.0000
0.0000 4.0170 0.0000
0.0000 0.0000 4.5847
```

# 9
Material: VCrGaSi
Method: DFT, PBE-GGA
State: relaxed Values from VASP.

Values from the calculation:
The value obtained for the energy relative to the elements, uncorrected is -0.0609 eV per atom. The volume is 221.5 Å³ per cell. The mass density is 6.020 Mg/m³. For the spin magnetization, the calculation gives 0.00 μB per formula unit. As for the energy above the most stable polymorph in this dataset: 0.102 eV/atom.

```
&SYSTEM
  ibrav = 0, nat = 16, ntyp = 4
/
ATOMIC_SPECIES
V 50.94 V.upf
Cr 52.00 Cr.upf
Ga 69.72 Ga.upf
Si 28.09 Si.upf
ATOMIC_POSITIONS angstrom
V 0.0000 0.0000 0.0000
V 0.0000 2.0778 8.1367
V 1.6377 0.0000 8.1367
V 1.6377 2.0778 0.0000
Cr 0.0000 0.0000 10.1140
Cr 0.0000 2.0778 1.9773
Cr 1.6377 0.0000 1.9773
Cr 1.6377 2.0778 10.1140
Ga 0.0000 0.0000 3.8776
Ga 0.0000 2.0778 12.0143
Ga 1.6377 0.0000 12.0143
Ga 1.6377 2.0778 3.8776
Si 0.0000 0.0000 6.3311
Si 0.0000 2.0778 14.4677
Si 1.6377 0.0000 14.4677
Si 1.6377 2.0778 6.3311
CELL_PARAMETERS angstrom
3.2753 0.0000 0.0000
0.0000 4.1557 0.0000
0.0000 0.0000 16.2734
```

# 10
Material: VCrGaSi
Method: DFT, PBE-GGA
State: relaxed Values from VASP.

Values from the calculation:
The value obtained for the energy relative to the elements, uncorrected is -0.0808 eV per atom. The volume is 118.5 Å³ per cell. The mass density is 5.626 Mg/m³. For the spin magnetization, the calculation gives 0.00 μB per formula unit. As for the energy above the most stable polymorph in this dataset: 0.082 eV/atom.

```
&SYSTEM
  ibrav = 0, nat = 8, ntyp = 4
/
ATOMIC_SPECIES
V 50.94 V.upf
Cr 52.00 Cr.upf
Ga 69.72 Ga.upf
Si 28.09 Si.upf
ATOMIC_POSITIONS angstrom
V 0.0000 0.0000 0.0000
V 6.8817 1.4842 0.0000
Cr 0.9356 1.4842 1.7556
Cr 7.8173 0.0000 1.7556
Ga 4.9939 0.0000 1.1095
Ga 11.8756 1.4842 1.1095
Si 2.5381 0.0000 0.5836
Si 9.4198 1.4842 0.5836
CELL_PARAMETERS angstrom
13.7634 0.0000 0.0000
0.0000 2.9685 0.0000
-0.6294 0.0000 2.9003
```

# 11
Material: VCrGaSi
Method: DFT, PBE-GGA
State: relaxed Values from VASP.

Values from the calculation:
The value obtained for the energy relative to the elements, uncorrected is -0.1130 eV per atom. The volume is 104.4 Å³ per cell. The mass density is 6.385 Mg/m³. For the spin magnetization, the calculation gives 0.05 μB per formula unit. As for the energy above the most stable polymorph in this dataset: 0.050 eV/atom.

```
&SYSTEM
  ibrav = 0, nat = 8, ntyp = 4
/
ATOMIC_SPECIES
V 50.94 V.upf
Cr 52.00 Cr.upf
Ga 69.72 Ga.upf
Si 28.09 Si.upf
ATOMIC_POSITIONS angstrom
V 0.0000 0.0000 0.0000
V 1.5975 2.0053 4.0741
Cr 0.0000 2.0053 2.2062
Cr 1.5975 0.0000 6.2803
Ga 0.0000 2.0053 6.2184
Ga 1.5975 0.0000 2.1443
Si 0.0000 0.0000 4.3080
Si 1.5975 2.0053 0.2339
CELL_PARAMETERS angstrom
3.1950 0.0000 0.0000
0.0000 4.0106 0.0000
0.0000 0.0000 8.1482
```

# 12
Material: VCrGaSi
Method: DFT, PBE-GGA
State: relaxed Values from VASP.

Values from the calculation:
The value obtained for the energy relative to the elements, uncorrected is 0.0060 eV per atom. The volume is 55.9 Å³ per cell. The mass density is 5.967 Mg/m³. For the spin magnetization, the calculation gives 0.00 μB per formula unit. As for the energy above the most stable polymorph in this dataset: 0.169 eV/atom.

```
&SYSTEM
  ibrav = 0, nat = 4, ntyp = 4
/
ATOMIC_SPECIES
V 50.94 V.upf
Cr 52.00 Cr.upf
Ga 69.72 Ga.upf
Si 28.09 Si.upf
ATOMIC_POSITIONS angstrom
V 0.0000 0.0000 0.0000
Cr 2.9326 2.2483 0.8264
Ga 1.4651 0.4745 2.1449
Si 2.9285 2.2704 3.5325
CELL_PARAMETERS angstrom
2.9375 0.0000 0.0000
1.4537 4.0108 0.0000
1.4607 0.4820 4.7417
```